Entry from Alexandria: crystalline ZnCoN2F at its relaxed geometry (PBE+U).

Output
E: -22.1 eV per cell

Cell: 3.654 3.654 4.189 Å, 90.00 90.00 90.00°
Positions (direct):
N 0.500 0.000 0.000
N 0.000 0.500 0.000
Co 0.000 0.000 0.000
F 0.000 0.000 0.500
Zn 0.500 0.500 0.500